# 1
A plane-wave DFT calculation with PBE-GGA was carried out for a geometry-optimized Ac2MnZnGe6 structure.

Results
calculated total energy: -4.839 eV/atom
formation energy from the elements: -2.02 eV/f.u.
space group: R-3m, No. 166

abc: 6.7136 6.7136 12.4514
angles: 74.36 74.36 60.00
Closest atoms and distances in Å follow each position.
Atoms (fractional coordinates):
1 Ge 0.1958 0.1958 0.8177  1 Zn 2.48, 1 Mn 2.67, 2 Ge 2.72
2 Ge 0.8042 0.8042 0.1823  1 Zn 2.48, 1 Mn 2.67, 2 Ge 2.72
3 Ge 0.3986 0.3986 0.3597  1 Mn 2.39
4 Ge 0.8042 0.2093 0.1823  1 Zn 2.48, 1 Mn 2.67, 2 Ge 2.72
5 Ge 0.1958 0.7907 0.8177  1 Zn 2.48, 1 Mn 2.67, 2 Ge 2.72
6 Ge 0.2093 0.8042 0.1823  1 Zn 2.48, 1 Mn 2.67, 2 Ge 2.72
7 Ge 0.6014 0.1569 0.6403  1 Mn 2.39
8 Ge 0.1569 0.6014 0.6403  1 Mn 2.39
9 Ge 0.7907 0.1958 0.8177  1 Zn 2.48, 1 Mn 2.67, 2 Ge 2.72
10 Ge 0.3986 0.8431 0.3597  1 Mn 2.39
11 Ge 0.8431 0.3986 0.3597  1 Mn 2.39
12 Ge 0.6014 0.6014 0.6403  1 Mn 2.39
13 Zn 0.3685 0.3685 0.8945  3 Ge 2.48
14 Zn 0.6315 0.6315 0.1055  3 Ge 2.48
15 Mn 0.5000 0.5000 0.5000  6 Ge 2.39
16 Mn 0.0000 0.0000 0.0000  6 Ge 2.67
17 Ac 0.7230 0.7230 0.8311  9 Ge 3.12-3.38, 1 Zn 3.25
18 Ac 0.8576 0.8576 0.4272  12 Ge 3.30-3.46
19 Ac 0.1424 0.1424 0.5728  12 Ge 3.30-3.46
20 Ac 0.2770 0.2770 0.1689  9 Ge 3.12-3.38, 1 Zn 3.25

# 2
A plane-wave DFT calculation with PBE-GGA was carried out for a geometry-optimized AcGe2Mo4 structure.

Results
calculated total energy: -8.243 eV/atom
formation energy from the elements: -1.04 eV/f.u.
space group: Cmmm, No. 65

abc: 4.4913 4.5132 7.3232
angles: 107.95 90.00 90.00
Closest atoms and distances in Å follow each position.
Atoms (fractional coordinates):
1 Mo 0.0000 0.2974 0.5949  4 Mo 2.62-2.63, 2 Ge 2.67
2 Mo 0.5000 0.1987 0.3975  4 Mo 2.63-2.67, 3 Ge 2.65-2.82
3 Mo 0.0000 0.7026 0.4051  4 Mo 2.62-2.63, 2 Ge 2.67
4 Mo 0.5000 0.8013 0.6025  4 Mo 2.63-2.67, 3 Ge 2.65-2.82
5 Ge 0.5000 0.4009 0.8019  5 Mo 2.65-2.82, 1 Ge 2.76
6 Ge 0.5000 0.5991 0.1981  5 Mo 2.65-2.82, 1 Ge 2.76
7 Ac 0.0000 0.0000 0.0000  8 Ge 3.47, 8 Mo 3.57-3.61

# 3
A plane-wave DFT calculation with PBE-GGA was carried out for a geometry-optimized Ac2Ge5Mo structure.

Results
calculated total energy: -5.618 eV/atom
formation energy from the elements: -2.81 eV/f.u.
space group: I4mm, No. 107

abc: 6.5713 6.5713 6.5713
angles: 85.86 122.42 122.42
Closest atoms and distances in Å follow each position.
Atoms (fractional coordinates):
1 Ac 0.5000 0.2356 0.7356  10 Ge 3.20-3.31
2 Ac 0.5000 0.7356 0.2356  10 Ge 3.20-3.31
3 Ge 0.5748 0.2743 0.2743  1 Mo 2.59, 3 Ge 2.69-2.74
4 Ge 0.0000 0.2743 0.6996  1 Mo 2.59, 3 Ge 2.69-2.74
5 Ge 0.4252 0.6996 0.6996  1 Mo 2.59, 3 Ge 2.69-2.74
6 Ge 0.0000 0.6996 0.2743  1 Mo 2.59, 3 Ge 2.69-2.74
7 Ge 0.0000 0.2821 0.2821  1 Mo 2.51, 4 Ge 2.74
8 Mo 0.0000 0.0209 0.0209  5 Ge 2.51-2.59

# 4
A plane-wave DFT calculation with PBE-GGA was carried out for a geometry-optimized AcGeMo structure.

Results
calculated total energy: -6.339 eV/atom
formation energy from the elements: 0.54 eV/f.u.
space group: Cmcm, No. 63

abc: 3.7745 4.0276 11.9724
angles: 80.32 90.00 90.00
Closest atoms and distances in Å follow each position.
Atoms (fractional coordinates):
1 Ac 0.7500 0.9205 0.1591  2 Ge 3.03
2 Ac 0.2500 0.0795 0.8409  2 Ge 3.03
3 Ge 0.2500 0.6756 0.6489  4 Mo 2.61-2.64
4 Ge 0.7500 0.3244 0.3511  4 Mo 2.61-2.64
5 Mo 0.2500 0.2461 0.5077  4 Ge 2.61-2.64, 4 Mo 2.77
6 Mo 0.7500 0.7539 0.4923  4 Ge 2.61-2.64, 4 Mo 2.77

# 5
A plane-wave DFT calculation with PBE-GGA was carried out for a geometry-optimized AcGe2Mo2N structure.

Results
calculated total energy: -7.750 eV/atom
raw formation energy: -0.53 eV/atom
space group: P4/mmm, No. 123

abc: 4.2765 4.2765 5.7361
angles: 90.00 90.00 90.00
Closest atoms and distances in Å follow each position.
Atoms (fractional coordinates):
1 Ac 0.0000 0.0000 0.5000  2 N 2.87
2 Mo 0.5000 0.0000 0.0000  2 N 2.14
3 Mo 0.0000 0.5000 0.0000  2 N 2.14
4 Ge 0.5000 0.5000 0.2775  1 Ge 2.55, 4 Mo 2.67
5 Ge 0.5000 0.5000 0.7225  1 Ge 2.55, 4 Mo 2.67
6 N 0.0000 0.0000 0.0000  4 Mo 2.14